1.
Entry from Alexandria: an optimized crystal structure of Pr2Dy8Er (PBE).

```
Pr2Dy8Er
1.0
5.676 1.636 0.000
2.600 8.659 0.000
1.300 4.329 8.044
Dy Pr Er
8 2 1
direct
0.500 0.793 0.414
0.827 0.099 0.230
0.703 0.575 0.000
0.500 0.207 0.586
0.827 0.328 0.770
0.173 0.901 0.770
0.297 0.425 0.000
0.173 0.672 0.230
0.000 0.693 0.613
0.000 0.307 0.387
0.500 0.000 0.000
```

Computed properties:
Its space group is C2/m, No. 12. The volume is 32.831 Å³ per atom. The calculation puts the energy of formation from the pure elements at 157 meV/atom.



2.
Entry from Alexandria: an optimized crystal structure of Cu6Ni2Pd3 (PBE).

```
Cu6Ni2Pd3
1.0
-3.288 -3.463 -1.549
2.633 -4.118 -1.145
-1.364 -5.710 10.728
Cu Pd Ni
12 6 4
direct
0.772 0.598 0.064
0.102 0.050 0.578
0.402 0.228 0.436
0.598 0.277 0.606
0.723 0.402 0.894
0.050 0.102 0.078
0.598 0.772 0.564
0.228 0.402 0.936
0.277 0.598 0.106
0.950 0.898 0.922
0.898 0.950 0.422
0.402 0.723 0.394
0.347 0.653 0.750
0.788 0.847 0.742
0.653 0.347 0.250
0.212 0.153 0.258
0.847 0.788 0.242
0.153 0.212 0.758
0.441 0.887 0.926
0.559 0.113 0.074
0.887 0.441 0.426
0.113 0.559 0.574
```

Computed properties:
Its space group is C2/c, No. 15. The volume is 13.235 Å³ per atom. The calculation puts the energy of formation from the pure elements at 82 meV/atom.



3.
Entry from Alexandria: an optimized crystal structure of Ba2GePbSe4 (PBE).

```
Ba2GePbSe4
1.0
8.961 0.004 -0.031
-0.002 8.961 -0.031
-4.445 -4.448 6.368
Se Pb Ba Ge
8 2 4 2
direct
0.746 0.272 0.509
0.245 0.254 0.476
0.772 0.246 0.009
0.254 0.728 0.491
0.228 0.754 0.991
0.755 0.746 0.524
0.246 0.255 0.024
0.754 0.745 0.976
0.000 0.500 0.000
0.000 0.500 0.500
0.000 0.000 0.500
0.500 0.000 0.500
0.500 0.000 0.000
0.500 0.500 0.000
0.000 0.000 0.000
0.500 0.500 0.500
```

Computed properties:
The calculation puts the formation energy without anion corrections at -1.14 eV per atom. Its space group is Imma, No. 74. The volume is 31.806 Å³ per atom.



4.
Entry from Alexandria: an optimized crystal structure of SrZrBe2 (PBE).

```
SrZrBe2
1.0
8.308 -0.025 -0.015
7.550 3.465 -0.015
7.550 1.638 3.054
Sr Be Zr
1 2 1
direct
0.250 0.250 0.250
0.487 0.487 0.487
0.013 0.013 0.013
0.750 0.750 0.750
```

Computed properties:
The value obtained for the energy above the most stable polymorph in this dataset is 0.4482 eV/atom. Its space group is R-3m, No. 166. The volume is 22.223 Å³ per atom. The calculation puts the energy of formation from the pure elements at 686 meV/atom.



no.,uncorrected energy (eV/cell),Fermi-level density of states (states/eV/f.u.)
1,-49.2,14.5
2,-101.6,9.8
3,-70.5,0.0
4,-14.9,3.8